The following is a DFT calculation (PBE) of an optimized crystal structure of LiZr2In.

a = 5.098 Å, b = 3.083 Å, c = 5.580 Å
α = 74.92°, β = 90.00°, γ = 90.00°
Sites, in units of the cell vectors:
In 0.500 0.250 0.250
Li 0.500 0.750 0.750
Zr 0.000 0.954 0.993
Zr 0.000 0.546 0.507

Calculated values
formation enthalpy at 0 K	-0.021	eV per atom
crystal system	monoclinic
electronic total energy	-5.46	eV per atom
total magnetization	0.00	μB/cell
space group	No. 10
density	6.0	Mg/m³